4
Lattice="1.606 0.927 10.934 -1.606 0.927 10.934 0.000 -1.854 10.934" Properties=species:S:1:pos:R:3 comment="PBEsol KMg2Mn, optimized geometry" e_above_lowest_polymorph_mev_per_atom=119.7 delta_e_f_ev_per_atom=0.55 energy_ev_per_atom=-3.028 pbc="T T T"
K 0.000 0.000 0.000
Mg 0.000 0.000 7.666
Mg 0.000 0.000 25.136
Mn 0.000 0.000 16.401